First-principles (meta-GGA SCAN) data for Mg2V2O7 at its PBEsol-relaxed geometry, as listed in the Alexandria database.

The structure in CIF format:
```
data_Mg2V2O7
_cell_length_a 6.615
_cell_length_b 8.393
_cell_length_c 9.481
_cell_angle_alpha 90.00
_cell_angle_beta 100.89
_cell_angle_gamma 90.00
_symmetry_space_group_name_H-M 'P 1'
_symmetry_Int_Tables_number 1
_symmetry_space_group_name_Hall 'P 1'
loop_
_atom_site_label
_atom_site_fract_x
_atom_site_fract_y
_atom_site_fract_z
Mg1 0.147 0.121 0.464
Mg2 0.147 0.379 0.964
Mg3 0.309 0.111 0.181
Mg4 0.309 0.389 0.681
Mg5 0.691 0.611 0.319
Mg6 0.691 0.889 0.819
Mg7 0.853 0.621 0.036
Mg8 0.853 0.879 0.536
V1 0.194 0.020 0.814
V2 0.194 0.480 0.314
V3 0.360 0.742 0.030
V4 0.360 0.758 0.530
V5 0.640 0.242 0.470
V6 0.640 0.258 0.970
V7 0.806 0.520 0.686
V8 0.806 0.980 0.186
O1 0.030 0.077 0.247
O2 0.030 0.423 0.747
O3 0.148 0.622 0.996
O4 0.148 0.878 0.496
O5 0.174 0.131 0.960
O6 0.174 0.369 0.460
O7 0.252 0.141 0.684
O8 0.252 0.359 0.184
O9 0.325 0.627 0.651
O10 0.325 0.873 0.151
O11 0.391 0.631 0.376
O12 0.391 0.869 0.876
O13 0.429 0.129 0.399
O14 0.429 0.371 0.899
O15 0.571 0.629 0.101
O16 0.571 0.871 0.601
O17 0.609 0.131 0.124
O18 0.609 0.369 0.624
O19 0.675 0.127 0.849
O20 0.675 0.373 0.349
O21 0.748 0.641 0.816
O22 0.748 0.859 0.316
O23 0.826 0.631 0.540
O24 0.826 0.869 0.040
O25 0.852 0.122 0.504
O26 0.852 0.378 0.004
O27 0.970 0.577 0.253
O28 0.970 0.923 0.753
```

## Properties
The calculation puts the total magnetic moment at 0.00 μB/atom. The calculated volume comes out at 129 Å³/f.u. For the density of states at the Fermi level, the calculation gives 0.00 states/eV/f.u. As for the uncorrected formation energy: -2.805 eV/atom. As for the crystal system: monoclinic.

---

First-principles (meta-GGA SCAN) data for Mg2V3O8 at its PBEsol-relaxed geometry, as listed in the Alexandria database.

The structure in CIF format:
```
data_Mg2V3O8
_cell_length_a 4.764
_cell_length_b 5.698
_cell_length_c 9.817
_cell_angle_alpha 90.00
_cell_angle_beta 95.61
_cell_angle_gamma 90.00
_symmetry_space_group_name_H-M 'P 1'
_symmetry_Int_Tables_number 1
_symmetry_space_group_name_Hall 'P 1'
loop_
_atom_site_label
_atom_site_fract_x
_atom_site_fract_y
_atom_site_fract_z
Mg1 0.062 0.000 0.233
Mg2 0.424 0.495 0.268
Mg3 0.576 0.495 0.732
Mg4 0.938 0.000 0.767
V1 0.000 0.288 0.500
V2 0.000 0.509 0.000
V3 0.000 0.709 0.500
V4 0.500 0.194 0.000
V5 0.500 0.737 0.000
V6 0.500 0.996 0.500
O1 0.195 0.728 0.118
O2 0.197 0.999 0.604
O3 0.201 0.499 0.614
O4 0.211 0.264 0.110
O5 0.282 0.228 0.385
O6 0.284 0.767 0.386
O7 0.315 0.987 0.889
O8 0.317 0.482 0.893
O9 0.683 0.482 0.107
O10 0.685 0.987 0.111
O11 0.716 0.767 0.614
O12 0.718 0.228 0.615
O13 0.789 0.264 0.890
O14 0.799 0.499 0.386
O15 0.803 0.999 0.396
O16 0.805 0.728 0.882
```

## Properties
The calculation puts the total magnetic moment at 0.15 μB/atom. The calculated volume comes out at 133 Å³/f.u. For the density of states at the Fermi level, the calculation gives 0.10 states/eV/f.u. As for the uncorrected formation energy: -2.749 eV/atom. As for the crystal system: monoclinic.

---

First-principles (meta-GGA SCAN) data for Mg3V2O8 at its PBEsol-relaxed geometry, as listed in the Alexandria database.

The structure in CIF format:
```
data_Mg3V2O8
_cell_length_a 5.737
_cell_length_b 5.737
_cell_length_c 5.737
_cell_angle_alpha 63.13
_cell_angle_beta 63.13
_cell_angle_gamma 63.13
_symmetry_space_group_name_H-M 'P 1'
_symmetry_Int_Tables_number 1
_symmetry_space_group_name_Hall 'P 1'
loop_
_atom_site_label
_atom_site_fract_x
_atom_site_fract_y
_atom_site_fract_z
Mg1 0.000 0.500 0.500
Mg2 0.500 0.000 0.500
Mg3 0.500 0.500 0.000
V1 0.124 0.124 0.124
V2 0.876 0.876 0.876
O1 0.226 0.763 0.763
O2 0.237 0.237 0.774
O3 0.237 0.774 0.237
O4 0.256 0.256 0.256
O5 0.744 0.744 0.744
O6 0.763 0.226 0.763
O7 0.763 0.763 0.226
O8 0.774 0.237 0.237
```

## Properties
The calculation puts the total magnetic moment at 0.00 μB/atom. The calculated volume comes out at 143 Å³/f.u. For the density of states at the Fermi level, the calculation gives 0.00 states/eV/f.u. As for the uncorrected formation energy: -2.847 eV/atom. As for the crystal system: trigonal.

---

First-principles (meta-GGA SCAN) data for Mg2VWO6 at its PBEsol-relaxed geometry, as listed in the Alexandria database.

The structure in CIF format:
```
data_Mg2VWO6
_cell_length_a 5.111
_cell_length_b 5.303
_cell_length_c 9.018
_cell_angle_alpha 90.00
_cell_angle_beta 124.19
_cell_angle_gamma 90.00
_symmetry_space_group_name_H-M 'P 1'
_symmetry_Int_Tables_number 1
_symmetry_space_group_name_Hall 'P 1'
loop_
_atom_site_label
_atom_site_fract_x
_atom_site_fract_y
_atom_site_fract_z
Mg1 0.235 0.057 0.245
Mg2 0.235 0.443 0.745
Mg3 0.765 0.557 0.255
Mg4 0.765 0.943 0.755
V1 0.000 0.000 0.500
V2 0.000 0.500 0.000
W1 0.500 0.000 0.000
W2 0.500 0.500 0.500
O1 0.122 0.184 0.939
O2 0.122 0.316 0.439
O3 0.251 0.691 0.929
O4 0.251 0.809 0.429
O5 0.382 0.060 0.753
O6 0.382 0.440 0.253
O7 0.618 0.560 0.747
O8 0.618 0.940 0.247
O9 0.749 0.191 0.571
O10 0.749 0.309 0.071
O11 0.878 0.684 0.561
O12 0.878 0.816 0.061
```

## Properties
The calculation puts the total magnetic moment at 0.30 μB/atom. The calculated volume comes out at 101 Å³/f.u. For the density of states at the Fermi level, the calculation gives 1.18 states/eV/f.u. As for the uncorrected formation energy: -2.577 eV/atom. As for the crystal system: monoclinic.

---

First-principles (meta-GGA SCAN) data for Mg2VWO6 at its PBEsol-relaxed geometry, as listed in the Alexandria database.

The structure in CIF format:
```
data_Mg2VWO6
_cell_length_a 5.458
_cell_length_b 5.458
_cell_length_c 5.458
_cell_angle_alpha 55.91
_cell_angle_beta 55.91
_cell_angle_gamma 55.91
_symmetry_space_group_name_H-M 'P 1'
_symmetry_Int_Tables_number 1
_symmetry_space_group_name_Hall 'P 1'
loop_
_atom_site_label
_atom_site_fract_x
_atom_site_fract_y
_atom_site_fract_z
Mg1 0.000 0.000 0.000
Mg2 0.500 0.500 0.500
V1 0.793 0.793 0.793
W1 0.294 0.294 0.294
O1 0.072 0.411 0.673
O2 0.179 0.920 0.564
O3 0.411 0.673 0.072
O4 0.564 0.179 0.920
O5 0.673 0.072 0.411
O6 0.920 0.564 0.179
```

## Properties
The calculation puts the total magnetic moment at 0.30 μB/atom. The calculated volume comes out at 104 Å³/f.u. For the density of states at the Fermi level, the calculation gives 0.79 states/eV/f.u. As for the uncorrected formation energy: -2.611 eV/atom. As for the crystal system: trigonal.

---

First-principles (meta-GGA SCAN) data for Mg30VZnO32 at its PBEsol-relaxed geometry, as listed in the Alexandria database.

The structure in CIF format:
```
data_Mg30VZnO32
_cell_length_a 8.443
_cell_length_b 8.443
_cell_length_c 8.445
_cell_angle_alpha 90.00
_cell_angle_beta 90.00
_cell_angle_gamma 90.00
_symmetry_space_group_name_H-M 'P 1'
_symmetry_Int_Tables_number 1
_symmetry_space_group_name_Hall 'P 1'
loop_
_atom_site_label
_atom_site_fract_x
_atom_site_fract_y
_atom_site_fract_z
Mg1 0.000 0.000 0.000
Mg2 0.000 0.000 0.500
Mg3 0.000 0.250 0.250
Mg4 0.000 0.250 0.750
Mg5 0.000 0.500 0.000
Mg6 0.000 0.500 0.500
Mg7 0.000 0.750 0.250
Mg8 0.000 0.750 0.750
Mg9 0.250 0.000 0.250
Mg10 0.250 0.000 0.750
Mg11 0.250 0.250 0.000
Mg12 0.250 0.250 0.500
Mg13 0.250 0.500 0.250
Mg14 0.250 0.500 0.750
Mg15 0.250 0.750 0.000
Mg16 0.250 0.750 0.500
Mg17 0.500 0.000 0.000
Mg18 0.500 0.000 0.500
Mg19 0.500 0.250 0.250
Mg20 0.500 0.250 0.750
Mg21 0.500 0.750 0.250
Mg22 0.500 0.750 0.750
Mg23 0.750 0.000 0.250
Mg24 0.750 0.000 0.750
Mg25 0.750 0.250 0.000
Mg26 0.750 0.250 0.500
Mg27 0.750 0.500 0.250
Mg28 0.750 0.500 0.750
Mg29 0.750 0.750 0.000
Mg30 0.750 0.750 0.500
V1 0.500 0.500 0.000
Zn1 0.500 0.500 0.500
O1 0.000 0.000 0.250
O2 0.000 0.000 0.750
O3 0.000 0.250 0.000
O4 0.000 0.250 0.500
O5 0.000 0.500 0.250
O6 0.000 0.500 0.750
O7 0.000 0.750 0.000
O8 0.000 0.750 0.500
O9 0.247 0.500 0.000
O10 0.247 0.500 0.500
O11 0.250 0.000 0.000
O12 0.250 0.000 0.500
O13 0.250 0.250 0.250
O14 0.250 0.250 0.750
O15 0.250 0.750 0.250
O16 0.250 0.750 0.750
O17 0.500 0.000 0.250
O18 0.500 0.000 0.750
O19 0.500 0.247 0.000
O20 0.500 0.247 0.500
O21 0.500 0.500 0.251
O22 0.500 0.500 0.749
O23 0.500 0.753 0.000
O24 0.500 0.753 0.500
O25 0.750 0.000 0.000
O26 0.750 0.000 0.500
O27 0.750 0.250 0.250
O28 0.750 0.250 0.750
O29 0.750 0.750 0.250
O30 0.750 0.750 0.750
O31 0.753 0.500 0.000
O32 0.753 0.500 0.500
```

## Properties
The calculation puts the total magnetic moment at 0.05 μB/atom. The calculated volume comes out at 602 Å³/f.u. As for the uncorrected formation energy: -2.941 eV/atom. As for the crystal system: tetragonal.

---

First-principles (meta-GGA SCAN) data for Mg3WO6 at its PBEsol-relaxed geometry, as listed in the Alexandria database.

The structure in CIF format:
```
data_Mg3WO6
_cell_length_a 5.104
_cell_length_b 5.317
_cell_length_c 9.096
_cell_angle_alpha 90.00
_cell_angle_beta 123.94
_cell_angle_gamma 90.00
_symmetry_space_group_name_H-M 'P 1'
_symmetry_Int_Tables_number 1
_symmetry_space_group_name_Hall 'P 1'
loop_
_atom_site_label
_atom_site_fract_x
_atom_site_fract_y
_atom_site_fract_z
Mg1 0.000 0.000 0.000
Mg2 0.000 0.500 0.500
Mg3 0.230 0.054 0.738
Mg4 0.230 0.446 0.238
Mg5 0.770 0.554 0.762
Mg6 0.770 0.946 0.262
W1 0.500 0.000 0.500
W2 0.500 0.500 0.000
O1 0.130 0.177 0.445
O2 0.130 0.323 0.945
O3 0.251 0.697 0.418
O4 0.251 0.803 0.918
O5 0.391 0.073 0.262
O6 0.391 0.427 0.762
O7 0.609 0.573 0.238
O8 0.609 0.927 0.738
O9 0.749 0.197 0.082
O10 0.749 0.303 0.582
O11 0.870 0.677 0.055
O12 0.870 0.823 0.555
```

## Properties
The calculation puts the total magnetic moment at 0.00 μB/atom. The calculated volume comes out at 102 Å³/f.u. For the density of states at the Fermi level, the calculation gives 0.00 states/eV/f.u. As for the uncorrected formation energy: -2.717 eV/atom. As for the crystal system: monoclinic.

---

First-principles (meta-GGA SCAN) data for MgWO4 at its PBEsol-relaxed geometry, as listed in the Alexandria database.

The structure in CIF format:
```
data_MgWO4
_cell_length_a 4.698
_cell_length_b 5.685
_cell_length_c 4.935
_cell_angle_alpha 90.00
_cell_angle_beta 90.62
_cell_angle_gamma 90.00
_symmetry_space_group_name_H-M 'P 1'
_symmetry_Int_Tables_number 1
_symmetry_space_group_name_Hall 'P 1'
loop_
_atom_site_label
_atom_site_fract_x
_atom_site_fract_y
_atom_site_fract_z
Mg1 0.000 0.170 0.250
Mg2 0.000 0.830 0.750
W1 0.500 0.320 0.750
W2 0.500 0.680 0.250
O1 0.242 0.122 0.600
O2 0.242 0.878 0.100
O3 0.284 0.393 0.065
O4 0.284 0.607 0.565
O5 0.716 0.393 0.435
O6 0.716 0.607 0.935
O7 0.758 0.122 0.900
O8 0.758 0.878 0.400
```

## Properties
The calculation puts the total magnetic moment at 0.00 μB/atom. The calculated volume comes out at 66 Å³/f.u. For the density of states at the Fermi level, the calculation gives 0.00 states/eV/f.u. As for the uncorrected formation energy: -2.623 eV/atom. As for the crystal system: monoclinic.

---

Which of these has the lowest calculated volume? MgWO4

---

What is the total magnetic moment in the sixth record? 0.05 μB/atom

---

Which value of total magnetic moment does entry 7 give? 0.00 μB/atom